1.
# K4Ho3GaO8 (PBE, optimized geometry)
data_K4Ho3GaO8
_symmetry_space_group_name_H-M 'R -3 m'
_symmetry_Int_Tables_number 166
_symmetry_space_group_name_Hall '-R 3 2"'
_cell_length_a 6.7630
_cell_length_b 6.7630
_cell_length_c 18.6978
_cell_angle_alpha 90.00
_cell_angle_beta 90.00
_cell_angle_gamma 120.00
loop_
_atom_site_label
_atom_site_fract_x
_atom_site_fract_y
_atom_site_fract_z
_atom_site_occupancy
K1 0.0000 0.0000 0.0000 1
K2 0.0000 0.5000 0.0000 1
Ho1 0.0000 0.5000 0.5000 1
Ga1 0.0000 0.0000 0.5000 1
O1 0.0000 0.0000 0.2284 1
O2 0.0164 0.5082 0.2274 1
# - uncorrected formation energy (eV per atom) = -2.446
# - spin magnetization (μB per formula unit) = 0.00



2.
# K4Ho3GaS8 (PBE, optimized geometry)
data_K4Ho3GaS8
_symmetry_space_group_name_H-M 'R -3 m'
_symmetry_Int_Tables_number 166
_symmetry_space_group_name_Hall '-R 3 2"'
_cell_length_a 7.9402
_cell_length_b 7.9402
_cell_length_c 22.0868
_cell_angle_alpha 90.00
_cell_angle_beta 90.00
_cell_angle_gamma 120.00
loop_
_atom_site_label
_atom_site_fract_x
_atom_site_fract_y
_atom_site_fract_z
_atom_site_occupancy
K1 0.0000 0.0000 0.0000 1
K2 0.0000 0.5000 0.0000 1
Ho1 0.0000 0.5000 0.5000 1
Ga1 0.0000 0.0000 0.5000 1
S1 0.0000 0.0000 0.2341 1
S2 0.0163 0.5082 0.2316 1
# - uncorrected formation energy (eV per atom) = -1.584
# - spin magnetization (μB per formula unit) = 0.00



Q: Which value of spin magnetization does entry 1 give?
A: 0.00 μB per formula unit